[1]
VASP calculation (PBE) on LaTl2Si after structural relaxation.

## Properties
ΔE to the lowest computed polymorph (meV per atom): 187.2
VASP energy (eV per atom): -3.809
D(E_F) (states/eV per atom): 0.9849

a = 7.571 Å, b = 7.571 Å, c = 7.571 Å
α = 90.00°, β = 90.00°, γ = 90.00°
Space group F-43m (No. 216)
Inequivalent atoms, fractional coordinates:
La 0.000 0.000 0.000 [4 per cell]
Tl 0.000 0.000 0.500 [4 per cell]
Tl 0.250 0.250 0.250 [4 per cell]
Si 0.250 0.250 0.750 [4 per cell]

=====

[2]
VASP calculation (PBE) on LaTl2Si after structural relaxation.

## Properties
ΔE to the lowest computed polymorph (meV per atom): 34.4
VASP energy (eV per atom): -3.962
D(E_F) (states/eV per atom): 0.5359

a = 3.928 Å, b = 4.930 Å, c = 11.080 Å
α = 90.00°, β = 90.00°, γ = 90.00°
Space group Immm (No. 71)
Inequivalent atoms, fractional coordinates:
La 0.000 0.000 0.000 [2 per cell]
Tl 0.000 0.500 0.219 [4 per cell]
Si 0.000 0.000 0.500 [2 per cell]

=====

[3]
VASP calculation (PBE) on LaTlSi after structural relaxation.

## Properties
ΔE to the lowest computed polymorph (meV per atom): 348.0
VASP energy (eV per atom): -4.409
D(E_F) (states/eV per atom): 0.5569

a = 4.617 Å, b = 5.927 Å, c = 11.807 Å
α = 90.00°, β = 90.00°, γ = 90.00°
Space group Fmm2 (No. 42)
Inequivalent atoms, fractional coordinates:
La 0.000 0.000 0.000 [4 per cell]
Tl 0.000 0.000 0.708 [4 per cell]
Si 0.000 0.000 0.343 [4 per cell]

=====

[4]
VASP calculation (PBE) on La4TlSi after structural relaxation.

## Properties
ΔE to the lowest computed polymorph (meV per atom): 658.1
VASP energy (eV per atom): -4.324
D(E_F) (states/eV per atom): 1.1719

a = 9.062 Å, b = 9.062 Å, c = 9.062 Å
α = 90.00°, β = 90.00°, γ = 90.00°
Space group F-43m (No. 216)
Inequivalent atoms, fractional coordinates:
La 0.124 0.124 0.124 [16 per cell]
Tl 0.000 0.000 0.500 [4 per cell]
Si 0.250 0.250 0.750 [4 per cell]

=====

[5]
VASP calculation (PBE) on LaTlSi after structural relaxation.

## Properties
ΔE to the lowest computed polymorph (meV per atom): 339.2
VASP energy (eV per atom): -4.418
D(E_F) (states/eV per atom): 0.7809

a = 7.011 Å, b = 7.011 Å, c = 7.011 Å
α = 90.00°, β = 90.00°, γ = 90.00°
Space group F-43m (No. 216)
Inequivalent atoms, fractional coordinates:
La 0.000 0.000 0.000 [4 per cell]
Tl 0.000 0.000 0.500 [4 per cell]
Si 0.250 0.250 0.750 [4 per cell]

=====

[6]
VASP calculation (PBE) on LaTl2Si after structural relaxation.

## Properties
ΔE to the lowest computed polymorph (meV per atom): 145.6
VASP energy (eV per atom): -3.850
D(E_F) (states/eV per atom): 0.7444

a = 4.471 Å, b = 4.471 Å, c = 23.314 Å
α = 90.00°, β = 90.00°, γ = 90.00°
Space group I-42d (No. 122)
Inequivalent atoms, fractional coordinates:
La 0.000 0.000 0.000 [4 per cell]
Tl 0.232 0.250 0.625 [8 per cell]
Si 0.000 0.000 0.500 [4 per cell]

=====

[7]
VASP calculation (PBE) on LaTl2Si after structural relaxation.

## Properties
ΔE to the lowest computed polymorph (meV per atom): 235.2
VASP energy (eV per atom): -3.761
D(E_F) (states/eV per atom): 0.7604

a = 5.292 Å, b = 5.634 Å, c = 7.108 Å
α = 90.00°, β = 90.00°, γ = 90.00°
Space group Cmmm (No. 65)
Inequivalent atoms, fractional coordinates:
La 0.000 0.000 0.000 [2 per cell]
Tl 0.000 0.500 0.289 [4 per cell]
Si 0.000 0.000 0.500 [2 per cell]

=====

[8]
VASP calculation (PBE) on La2Tl2Si after structural relaxation.

## Properties
ΔE to the lowest computed polymorph (meV per atom): 79.8
VASP energy (eV per atom): -4.157
D(E_F) (states/eV per atom): 0.3732

a = 7.876 Å, b = 7.876 Å, c = 5.071 Å
α = 90.00°, β = 90.00°, γ = 90.00°
Space group P4/mbm (No. 127)
Inequivalent atoms, fractional coordinates:
La 0.151 0.349 0.000 [4 per cell]
Tl 0.156 0.656 0.500 [4 per cell]
Si 0.000 0.000 0.000 [2 per cell]

=====

[9]
VASP calculation (PBE) on LaTl2Si after structural relaxation.

## Properties
ΔE to the lowest computed polymorph (meV per atom): 68.6
VASP energy (eV per atom): -3.927
D(E_F) (states/eV per atom): 0.6090

a = 11.156 Å, b = 4.320 Å, c = 5.016 Å
α = 90.00°, β = 114.64°, γ = 90.00°
Space group Cm (No. 8)
Inequivalent atoms, fractional coordinates:
La 0.000 0.000 0.000 [2 per cell]
Tl 0.081 0.500 0.579 [2 per cell]
Tl 0.283 0.500 0.299 [2 per cell]
Si 0.272 0.000 0.889 [2 per cell]

=====

[10]
VASP calculation (PBE) on LaTl2Si after structural relaxation.

## Properties
ΔE to the lowest computed polymorph (meV per atom): 403.4
VASP energy (eV per atom): -3.593
D(E_F) (states/eV per atom): 1.1563

a = 3.5696 Å, b = 3.5696 Å, c = 29.6810 Å
α = 90.00°, β = 90.00°, γ = 120.00°
Space group R-3m (No. 166, hexagonal axes)
Inequivalent atoms, fractional coordinates:
La 0.0000 0.0000 0.0000 [3 per cell]
Tl 0.0000 0.0000 0.2382 [6 per cell]
Si 0.0000 0.0000 0.5000 [3 per cell]

=====

[11]
VASP calculation (PBE) on La2Tl2Si after structural relaxation.

## Properties
ΔE to the lowest computed polymorph (meV per atom): 683.2
VASP energy (eV per atom): -3.553
D(E_F) (states/eV per atom): 1.1443

a = 4.972 Å, b = 4.972 Å, c = 13.744 Å
α = 90.00°, β = 90.00°, γ = 90.00°
Space group I4/mmm (No. 139)
Inequivalent atoms, fractional coordinates:
La 0.000 0.500 0.250 [4 per cell]
Tl 0.000 0.000 0.098 [4 per cell]
Si 0.000 0.000 0.500 [2 per cell]

=====

[12]
VASP calculation (PBE) on La4Tl2Si after structural relaxation.

## Properties
VASP energy (eV per atom): -4.558
D(E_F) (states/eV per atom): 0.2433

a = 5.730 Å, b = 5.730 Å, c = 15.831 Å
α = 90.00°, β = 90.00°, γ = 90.00°
Space group I4/mmm (No. 139)
Inequivalent atoms, fractional coordinates:
La 0.000 0.000 0.184 [4 per cell]
La 0.000 0.500 0.000 [4 per cell]
Tl 0.000 0.000 0.384 [4 per cell]
Si 0.000 0.000 0.000 [2 per cell]

=====

[13]
VASP calculation (PBE) on La4TlSi after structural relaxation.

## Properties
ΔE to the lowest computed polymorph (meV per atom): 0.0
VASP energy (eV per atom): -4.982
D(E_F) (states/eV per atom): 1.0727

a = 6.010 Å, b = 7.084 Å, c = 8.979 Å
α = 90.00°, β = 100.07°, γ = 90.00°
Space group P2_1/m (No. 11)
Inequivalent atoms, fractional coordinates:
La 0.151 0.250 0.042 [2 per cell]
La 0.185 0.750 0.365 [2 per cell]
La 0.347 0.522 0.748 [4 per cell]
Tl 0.226 0.250 0.419 [2 per cell]
Si 0.349 0.750 0.045 [2 per cell]

=====

[14]
VASP calculation (PBE) on La3TlSi after structural relaxation.

## Properties
VASP energy (eV per atom): -4.953
D(E_F) (states/eV per atom): 0.8598

a = 9.546 Å, b = 8.747 Å, c = 7.359 Å
α = 90.00°, β = 100.37°, γ = 90.00°
Space group P2_1/c (No. 14)
Inequivalent atoms, fractional coordinates:
La 0.117 0.194 0.041 [4 per cell]
La 0.216 0.644 0.832 [4 per cell]
La 0.376 0.514 0.333 [4 per cell]
Tl 0.428 0.166 0.437 [4 per cell]
Si 0.057 0.537 0.169 [4 per cell]

=====

[15]
VASP calculation (PBE) on La2Tl2Si after structural relaxation.

## Properties
ΔE to the lowest computed polymorph (meV per atom): 0.0
VASP energy (eV per atom): -4.236
D(E_F) (states/eV per atom): 0.2540

a = 7.695 Å, b = 7.695 Å, c = 4.944 Å
α = 90.00°, β = 90.00°, γ = 90.00°
Space group P4/mbm (No. 127)
Inequivalent atoms, fractional coordinates:
La 0.169 0.331 0.000 [4 per cell]
Tl 0.139 0.639 0.500 [4 per cell]
Si 0.000 0.000 0.500 [2 per cell]

=====

[16]
VASP calculation (PBE) on LaTlSi after structural relaxation.

## Properties
ΔE to the lowest computed polymorph (meV per atom): 659.3
VASP energy (eV per atom): -4.098
D(E_F) (states/eV per atom): 0.8543

a = 3.4692 Å, b = 3.4692 Å, c = 7.6425 Å
α = 90.00°, β = 90.00°, γ = 120.00°
Space group P3m1 (No. 156)
Inequivalent atoms, fractional coordinates:
La 0.0000 0.0000 0.0000 [1 per cell]
Tl 0.6667 0.3333 0.6152 [1 per cell]
Si 0.3333 0.6667 0.3247 [1 per cell]

=====

[17]
VASP calculation (PBE) on LaTl2Si after structural relaxation.

## Properties
ΔE to the lowest computed polymorph (meV per atom): 89.4
VASP energy (eV per atom): -3.907
D(E_F) (states/eV per atom): 0.4846

a = 4.723 Å, b = 5.124 Å, c = 4.758 Å
α = 90.00°, β = 97.66°, γ = 90.00°
Space group P2/m (No. 10)
Inequivalent atoms, fractional coordinates:
La 0.000 0.000 0.000 [1 per cell]
Tl 0.287 0.500 0.714 [2 per cell]
Si 0.500 0.000 0.500 [1 per cell]

=====

[18]
VASP calculation (PBE) on LaTlSi after structural relaxation.

## Properties
ΔE to the lowest computed polymorph (meV per atom): 0.0
VASP energy (eV per atom): -4.757
D(E_F) (states/eV per atom): 0.4867

a = 4.273 Å, b = 19.501 Å, c = 3.890 Å
α = 90.00°, β = 90.00°, γ = 90.00°
Space group Cmcm (No. 63)
Inequivalent atoms, fractional coordinates:
La 0.000 0.090 0.250 [4 per cell]
Tl 0.000 0.290 0.250 [4 per cell]
Si 0.000 0.465 0.250 [4 per cell]

=====

[19]
VASP calculation (PBE) on LaTlSi after structural relaxation.

## Properties
ΔE to the lowest computed polymorph (meV per atom): 369.8
VASP energy (eV per atom): -4.388
D(E_F) (states/eV per atom): 0.6245

a = 3.327 Å, b = 4.021 Å, c = 11.570 Å
α = 90.00°, β = 90.00°, γ = 90.00°
Space group Imm2 (No. 44)
Inequivalent atoms, fractional coordinates:
La 0.000 0.000 0.000 [2 per cell]
Tl 0.000 0.000 0.293 [2 per cell]
Si 0.000 0.000 0.657 [2 per cell]

=====

[20]
VASP calculation (PBE) on La12Tl5Si3 after structural relaxation.

## Properties
VASP energy (eV per atom): -4.357
D(E_F) (states/eV per atom): 1.0523

a = 18.260 Å, b = 18.260 Å, c = 18.260 Å
α = 90.00°, β = 90.00°, γ = 90.00°
Space group Ia-3d (No. 230)
Inequivalent atoms, fractional coordinates:
La 0.011 0.079 0.654 [96 per cell]
Tl 0.000 0.000 0.000 [16 per cell]
Tl 0.000 0.250 0.375 [24 per cell]
Si 0.000 0.250 0.125 [24 per cell]

=====

Uncorrected formation energy, respectively: -38, -191, -170, 259, -179, -80, 10, -154, -157, 178, 449, -292, -399, -438, -234, 141, -136, -518, -149, 5 meV/atom.